Density functional theory data (GGA-PBE) for an optimized crystal structure of CsRb3Pd.

Cell and atoms, written as CIF:
```
data_CsRb3Pd
_chemical_formula_sum 'Cs1 Rb3 Pd1'
_cell_length_a 6.920
_cell_length_b 6.920
_cell_length_c 6.920
_cell_angle_alpha 90.00
_cell_angle_beta 90.00
_cell_angle_gamma 90.00
_symmetry_space_group_name_H-M 'P m -3 m'
_symmetry_Int_Tables_number 221
_symmetry_space_group_name_Hall '-P 4 2 3'
loop_
_atom_site_label
_atom_site_type_symbol
_atom_site_fract_x
_atom_site_fract_y
_atom_site_fract_z
_atom_site_occupancy
Cs1 Cs 0.000 0.000 0.000 1
Rb1 Rb 0.000 0.500 0.500 1
Pd1 Pd 0.500 0.500 0.500 1
```

Results
energy relative to the lowest polymorph listed for this composition	52	meV/atom
ΔE_f	0.101	eV/atom
Fermi-level density of states	1.01	states/eV per cell